A plane-wave DFT calculation with GGA-PBE was carried out for an optimized crystal structure of Si2SbMo.

Space-group type ... I-42d (122)
E_form (uncorrected) ... 2.76 eV per formula unit

a = 7.1528 Å, b = 7.1528 Å, c = 7.1528 Å
α = 131.14°, β = 131.14°, γ = 71.60°
Last column: nearest neighbours and their distance in Å.
Sites, in units of the cell vectors:
Si: 0.0906 0.6250 0.9656  2 Mo 2.43, 2 Sb 2.67
Si: 0.3750 0.3406 0.4656  2 Mo 2.43, 2 Sb 2.67
Si: 0.6594 0.1250 0.0344  2 Mo 2.43, 2 Sb 2.67
Si: 0.8750 0.9094 0.5344  2 Mo 2.43, 2 Sb 2.67
Sb: 0.2500 0.7500 0.5000  4 Si 2.67
Sb: 0.5000 0.5000 0.0000  4 Si 2.67
Mo: 0.0000 0.0000 0.0000  4 Si 2.43
Mo: 0.7500 0.2500 0.5000  4 Si 2.43

***

A plane-wave DFT calculation with GGA-PBE was carried out for an optimized crystal structure of NpSi2OsRu.

Space-group type ... I-4m2 (119)
E_form (uncorrected) ... -2.56 eV per formula unit

a = 5.6566 Å, b = 5.6566 Å, c = 5.6566 Å
α = 136.89°, β = 136.89°, γ = 62.61°
Last column: nearest neighbours and their distance in Å.
Sites, in units of the cell vectors:
Np: 0.0000 0.0000 0.0000  8 Si 3.18, 4 Os 3.19, 4 Ru 3.19
Si: 0.3732 0.3732 0.0000  2 Ru 2.40, 2 Os 2.40, 1 Si 2.45
Si: 0.6268 0.6268 0.0000  2 Os 2.40, 2 Ru 2.40, 1 Si 2.45
Os: 0.7500 0.2500 0.5000  4 Si 2.40
Ru: 0.2500 0.7500 0.5000  4 Si 2.40

***

A plane-wave DFT calculation with GGA-PBE was carried out for an optimized crystal structure of Na3Pm2HoO6.

Space-group type ... C2/m (12)
E_form (uncorrected) ... -32.46 eV per formula unit

a = 6.0782 Å, b = 6.0782 Å, c = 5.9629 Å
α = 99.74°, β = 99.74°, γ = 120.03°
Last column: nearest neighbours and their distance in Å.
Sites, in units of the cell vectors:
Na: 0.0000 0.0000 0.0000  6 O 2.56-2.63
Na: 0.3384 0.6616 0.0000  6 O 2.53-2.67
Na: 0.6616 0.3384 0.0000  6 O 2.53-2.67
Pm: 0.1669 0.8331 0.5000  6 O 2.38
Pm: 0.8331 0.1669 0.5000  6 O 2.38
Ho: 0.5000 0.5000 0.5000  6 O 2.30
O: 0.1055 0.4290 0.2862  1 Ho 2.30, 2 Pm 2.38, 2 Na 2.56
O: 0.2470 0.2470 0.7126  1 Ho 2.30, 2 Pm 2.38, 2 Na 2.53
O: 0.4290 0.1055 0.2862  1 Ho 2.30, 2 Pm 2.38, 2 Na 2.56
O: 0.5710 0.8945 0.7138  1 Ho 2.30, 2 Pm 2.38, 2 Na 2.56
O: 0.7530 0.7530 0.2874  1 Ho 2.30, 2 Pm 2.38, 2 Na 2.53
O: 0.8945 0.5710 0.7138  1 Ho 2.30, 2 Pm 2.38, 2 Na 2.56

***

A plane-wave DFT calculation with GGA-PBE was carried out for an optimized crystal structure of TaPd2Au2.

ΔH_f (0 K) ... 1.26 eV per formula unit
Space-group type ... I4/mmm (139)
Excess energy over the best structure of this formula in the dataset ... 558 meV/atom

a = 7.4332 Å, b = 7.4332 Å, c = 7.4332 Å
α = 151.52°, β = 151.52°, γ = 40.71°
Last column: nearest neighbours and their distance in Å.
Sites, in units of the cell vectors:
Ta: 0.0000 0.0000 0.0000  8 Pd 2.89
Pd: 0.4080 0.4080 0.0000  1 Pd 2.56, 4 Au 2.86
Pd: 0.5920 0.5920 0.0000  1 Pd 2.56, 4 Au 2.86
Au: 0.2500 0.7500 0.5000  4 Au 2.59, 4 Pd 2.86
Au: 0.7500 0.2500 0.5000  4 Au 2.59, 4 Pd 2.86

***

A plane-wave DFT calculation with GGA-PBE was carried out for an optimized crystal structure of SBr3O.

Space-group type ... Pm-3m (221)
E_form (uncorrected) ... 4.92 eV per formula unit
Excess energy over the best structure of this formula in the dataset ... 0 meV/atom

a = 4.8347 Å, b = 4.8347 Å, c = 4.8347 Å
α = 90.00°, β = 90.00°, γ = 90.00°
Last column: nearest neighbours and their distance in Å.
Sites, in units of the cell vectors:
S: 0.0000 0.0000 0.0000  12 Br 3.42
Br: 0.0000 0.5000 0.5000  2 O 2.42
Br: 0.5000 0.0000 0.5000  2 O 2.42
Br: 0.5000 0.5000 0.0000  2 O 2.42
O: 0.5000 0.5000 0.5000  6 Br 2.42

***

A plane-wave DFT calculation with GGA-PBE was carried out for an optimized crystal structure of PmHoCSe.

Space-group type ... R3m (160)
E_form (uncorrected) ... -4.25 eV per formula unit

a = 7.1653 Å, b = 7.1653 Å, c = 7.1653 Å
α = 30.61°, β = 30.61°, γ = 30.61°
Last column: nearest neighbours and their distance in Å.
Sites, in units of the cell vectors:
Pm: 0.0000 0.0000 0.0000  3 C 2.60
Ho: 0.1993 0.1993 0.1993  3 C 2.56
C: 0.5976 0.5976 0.5976  3 Ho 2.56, 3 Pm 2.60
Se: 0.7714 0.7714 0.7714  3 Ho 2.92, 3 Pm 3.06

***

A plane-wave DFT calculation with GGA-PBE was carried out for an optimized crystal structure of CaAc5Pr6.

ΔH_f (0 K) ... 0.38 eV per formula unit
Space-group type ... Immm (71)

a = 10.1380 Å, b = 10.1380 Å, c = 10.1380 Å
α = 148.47°, β = 116.35°, γ = 72.77°
Last column: nearest neighbours and their distance in Å.
Sites, in units of the cell vectors:
Ca: 0.0000 0.0000 0.0000  8 Pr 3.84-3.89, 4 Ac 3.88
Ac: 0.1676 0.6676 0.5000  8 Pr 3.77-3.88, 2 Ac 3.85, 2 Ca 3.88
Ac: 0.3324 0.3324 0.0000  8 Pr 3.77-3.82, 4 Ac 3.85-3.88
Ac: 0.5000 0.0000 0.5000  8 Pr 3.79-3.81, 4 Ac 3.88
Ac: 0.6676 0.6676 0.0000  8 Pr 3.77-3.82, 4 Ac 3.85-3.88
Ac: 0.8324 0.3324 0.5000  8 Pr 3.77-3.88, 2 Ac 3.85, 2 Ca 3.88
Pr: 0.0849 0.8325 0.2524  7 Ac 3.77-3.86, 1 Ca 3.84, 4 Pr 3.85-3.88
Pr: 0.2567 0.5000 0.7567  6 Ac 3.77-3.88, 4 Pr 3.88, 2 Ca 3.89
Pr: 0.4200 0.1675 0.2524  7 Ac 3.77-3.86, 1 Ca 3.84, 4 Pr 3.85-3.88
Pr: 0.5800 0.8325 0.7476  7 Ac 3.77-3.86, 1 Ca 3.84, 4 Pr 3.85-3.88
Pr: 0.7433 0.5000 0.2433  6 Ac 3.77-3.88, 4 Pr 3.88, 2 Ca 3.89
Pr: 0.9151 0.1675 0.7476  7 Ac 3.77-3.86, 1 Ca 3.84, 4 Pr 3.85-3.88

***

A plane-wave DFT calculation with GGA-PBE was carried out for an optimized crystal structure of BaMgMo4.

ΔH_f (0 K) ... 4.71 eV per formula unit
Space-group type ... F-43m (216)

a = 5.5554 Å, b = 5.5554 Å, c = 5.5554 Å
α = 60.00°, β = 60.00°, γ = 60.00°
Last column: nearest neighbours and their distance in Å.
Sites, in units of the cell vectors:
Ba: 0.0000 0.0000 0.0000  12 Mo 3.26, 4 Mg 3.40
Mg: 0.7500 0.7500 0.7500  12 Mo 3.26, 4 Ba 3.40
Mo: 0.3744 0.3744 0.3744  6 Mo 2.76-2.79
Mo: 0.3744 0.3744 0.8769  6 Mo 2.76-2.79
Mo: 0.3744 0.8769 0.3744  6 Mo 2.76-2.79
Mo: 0.8769 0.3744 0.3744  6 Mo 2.76-2.79

***

Total magnetization
In order: 2.053, 3.553, 0.000, 0.000, 3.070, 0.000, 0.000, 0.000
Unit: μB/cell